Entry 1:
The following is a GGA-PBE calculation of an optimized crystal structure of ZnCuAg2H, from Alexandria via LeMat-Bulk.

Properties
The calculation puts the density of states at the Fermi level at 0.39 states/eV/atom. Its total energy is -2.728 eV per atom.

abc: 4.430 4.430 3.375
angles: 90.00 90.00 90.00
Space group P4/mmm (No. 123)
Inequivalent atoms, fractional coordinates:
Zn  0.000  0.000  0.000 x1
Cu  0.500  0.500  0.000 x1
Ag  0.000  0.500  0.500 x2
H  0.500  0.500  0.500 x1

***

Entry 2:
The following is a GGA-PBE calculation of an optimized crystal structure of AsRu, from Alexandria via LeMat-Bulk.

Properties
The calculation puts the density of states at the Fermi level at 0.21 states/eV/atom. Its total energy is -7.048 eV per atom.

abc: 4.929 4.929 4.929
angles: 90.00 90.00 90.00
Space group P2_13 (No. 198)
Inequivalent atoms, fractional coordinates:
As  0.073  0.427  0.573 x4
Ru  0.074  0.926  0.426 x4

***

Entry 3:
The following is a GGA-PBE calculation of an optimized crystal structure of AsBrF2, from Alexandria via LeMat-Bulk.

Properties
The formation energy (no corrections) is -1.55 eV/atom. The calculation puts the density of states at the Fermi level at 0.00 states/eV/atom. The value obtained for the relative energy among the computed polymorphs is 0.0 meV/atom.

abc: 6.698 4.481 13.871
angles: 90.00 107.71 90.00
Space group P2_1/c (No. 14)
Inequivalent atoms, fractional coordinates:
As  0.199  0.001  0.420 x4
Br  0.283  0.741  0.289 x4
F  0.029  0.212  0.583 x4
F  0.362  0.712  0.023 x4

***

Entry 4:
The following is a GGA-PBE calculation of an optimized crystal structure of Si2Ag, from Alexandria via LeMat-Bulk.

Properties
The formation energy (no corrections) is 0.45 eV/atom. The calculation puts the density of states at the Fermi level at 0.37 states/eV/atom. The value obtained for the relative energy among the computed polymorphs is 137.8 meV/atom.

abc: 2.909 2.909 11.484
angles: 90.00 90.00 90.00
Space group I4/mmm (No. 139)
Inequivalent atoms, fractional coordinates:
Si  0.000  0.000  0.176 x4
Ag  0.000  0.000  0.500 x2

***

Entry 5:
The following is a GGA-PBE calculation of an optimized crystal structure of BaSc2Br, from Alexandria via LeMat-Bulk.

Properties
The formation energy (no corrections) is 0.09 eV/atom. The calculation puts the density of states at the Fermi level at 1.23 states/eV/atom. The value obtained for the relative energy among the computed polymorphs is 483.4 meV/atom.

abc: 5.317 5.317 20.424
angles: 90.00 90.00 90.00
Space group I4_1/amd (No. 141, origin choice 2)
Inequivalent atoms, fractional coordinates:
Ba  0.000  0.250  0.375 x4
Sc  0.000  0.000  0.000 x8
Br  0.000  0.250  0.875 x4

***

Entry 6:
The following is a GGA-PBE calculation of an optimized crystal structure of Na2MgGaRh, from Alexandria via LeMat-Bulk.

Properties
The calculation puts the density of states at the Fermi level at 0.47 states/eV/atom. Its total energy is -2.510 eV per atom.

abc: 5.313 5.313 4.922
angles: 90.00 90.00 90.00
Space group P4/mmm (No. 123)
Inequivalent atoms, fractional coordinates:
Na  0.000  0.500  0.000 x2
Mg  0.000  0.000  0.500 x1
Ga  0.500  0.500  0.500 x1
Rh  0.000  0.000  0.000 x1

***

Entry 7:
The following is a GGA-PBE calculation of an optimized crystal structure of TbPr2Y6, from Alexandria via LeMat-Bulk.

Properties
The calculation puts the density of states at the Fermi level at 1.54 states/eV/atom. The value obtained for the relative energy among the computed polymorphs is 0.0 meV/atom.

abc: 16.702 11.734 6.108
angles: 90.00 97.12 90.00
Space group C2/c (No. 15)
Inequivalent atoms, fractional coordinates:
Tb  0.000  0.100  0.250 x4
Pr  0.167  0.395  0.079 x8
Y  0.049  0.363  0.515 x8
Y  0.114  0.137  0.820 x8
Y  0.212  0.130  0.358 x8

***

Entry 8:
The following is a GGA-PBE calculation of an optimized crystal structure of Nd6Tl5, from Alexandria via LeMat-Bulk.

Properties
The calculation puts the density of states at the Fermi level at 1.03 states/eV/atom. Its total energy is -3.888 eV per atom.

abc: 8.839 11.934 6.943
angles: 90.00 104.21 90.00
Space group C2/m (No. 12)
Inequivalent atoms, fractional coordinates:
Nd  0.188  0.000  0.195 x4
Nd  0.200  0.151  0.691 x8
Tl  0.000  0.232  0.000 x4
Tl  0.000  0.372  0.500 x4
Tl  0.000  0.500  0.000 x2

***

Entry 9:
The following is a GGA-PBE calculation of an optimized crystal structure of SrLaRe2, from Alexandria via LeMat-Bulk.

Properties
The calculation puts the density of states at the Fermi level at 1.09 states/eV/atom. The value obtained for the relative energy among the computed polymorphs is 641.1 meV/atom.

abc: 3.261 4.852 6.642
angles: 90.00 90.00 90.00
Space group Pmmm (No. 47)
Inequivalent atoms, fractional coordinates:
Sr  0.000  0.000  0.000 x1
La  0.000  0.000  0.500 x1
Re  0.500  0.500  0.327 x2

***

Entry 10:
The following is a GGA-PBE calculation of an optimized crystal structure of CeAl6Fe6, from Alexandria via LeMat-Bulk.

Properties
The calculation puts the density of states at the Fermi level at 0.84 states/eV/atom. Its total energy is -6.443 eV per atom.

abc: 4.971 8.546 8.678
angles: 90.00 90.00 90.00
Space group Immm (No. 71)
Inequivalent atoms, fractional coordinates:
Ce  0.000  0.000  0.000 x2
Al  0.000  0.000  0.348 x4
Al  0.000  0.341  0.000 x4
Al  0.000  0.500  0.302 x4
Fe  0.000  0.262  0.500 x4
Fe  0.250  0.250  0.250 x8

***

Entry 11:
The following is a GGA-PBE calculation of an optimized crystal structure of LiLa2GaTe5, from Alexandria via LeMat-Bulk.

Properties
The formation energy (no corrections) is -1.15 eV/atom.

abc: 4.354 19.549 12.925
angles: 90.00 90.00 90.00
Space group Cmc2_1 (No. 36)
Inequivalent atoms, fractional coordinates:
Li  0.000  0.213  0.000 x4
La  0.000  0.119  0.663 x4
La  0.000  0.132  0.285 x4
Ga  0.000  0.429  0.436 x4
Te  0.000  0.043  0.051 x4
Te  0.000  0.290  0.648 x4
Te  0.000  0.313  0.330 x4
Te  0.000  0.357  0.978 x4
Te  0.000  0.500  0.260 x4

***

Entry 12:
The following is a GGA-PBE calculation of an optimized crystal structure of Pm5Dy6Tm, from Alexandria via LeMat-Bulk.

Properties
The calculation puts the density of states at the Fermi level at 1.40 states/eV/atom. Its total energy is -4.634 eV per atom.

abc: 5.066 10.113 15.209
angles: 90.00 90.00 90.00
Space group Immm (No. 71)
Inequivalent atoms, fractional coordinates:
Pm  0.000  0.000  0.000 x2
Pm  0.000  0.000  0.335 x4
Pm  0.000  0.500  0.333 x4
Dy  0.000  0.248  0.500 x4
Dy  0.000  0.251  0.166 x8
Tm  0.000  0.500  0.000 x2

***

Entry 13:
The following is a GGA-PBE calculation of an optimized crystal structure of InBi6, from Alexandria via LeMat-Bulk.

Properties
The calculation puts the density of states at the Fermi level at 0.75 states/eV/atom. Its total energy is -3.365 eV per atom.

abc: 8.842 8.842 8.842
angles: 90.00 90.00 90.00
Space group Im-3m (No. 229)
Inequivalent atoms, fractional coordinates:
In  0.000  0.000  0.000 x2
Bi  0.000  0.250  0.500 x12

***

Entry 14:
The following is a GGA-PBE calculation of an optimized crystal structure of SiIrSe, from Alexandria via LeMat-Bulk.

Properties
The formation energy (no corrections) is -0.16 eV/atom. The calculation puts the density of states at the Fermi level at 0.31 states/eV/atom.

abc: 5.948 5.948 5.948
angles: 90.00 90.00 90.00
Space group F-43m (No. 216)
Inequivalent atoms, fractional coordinates:
Si  0.000  0.000  0.000 x4
Ir  0.250  0.250  0.250 x4
Se  0.000  0.000  0.500 x4

***

Entry 15:
The following is a GGA-PBE calculation of an optimized crystal structure of SrReAs2, from Alexandria via LeMat-Bulk.

Properties
The calculation puts the density of states at the Fermi level at 0.55 states/eV/atom. The value obtained for the relative energy among the computed polymorphs is 246.8 meV/atom.

abc: 3.675 4.240 5.741
angles: 90.00 90.00 90.00
Space group Pmmm (No. 47)
Inequivalent atoms, fractional coordinates:
Sr  0.000  0.000  0.000 x1
Re  0.500  0.000  0.500 x1
As  0.500  0.500  0.270 x2

***

Entry 16:
The following is a GGA-PBE calculation of an optimized crystal structure of Fe2Ni2Hg, from Alexandria via LeMat-Bulk.

Properties
The calculation puts the density of states at the Fermi level at 0.99 states/eV/atom. The value obtained for the relative energy among the computed polymorphs is 52.0 meV/atom.

abc: 7.167 7.167 2.654
angles: 90.00 90.00 90.00
Space group P4/mbm (No. 127)
Inequivalent atoms, fractional coordinates:
Fe  0.119  0.381  0.000 x4
Ni  0.171  0.671  0.500 x4
Hg  0.000  0.000  0.000 x2

***

Entry 17:
The following is a GGA-PBE calculation of an optimized crystal structure of BeTc2Te, from Alexandria via LeMat-Bulk.

Properties
The formation energy (no corrections) is 0.24 eV/atom. The calculation puts the density of states at the Fermi level at 0.99 states/eV/atom. The value obtained for the relative energy among the computed polymorphs is 109.8 meV/atom.

abc: 6.153 6.153 6.153
angles: 90.00 90.00 90.00
Space group Fm-3m (No. 225)
Inequivalent atoms, fractional coordinates:
Be  0.000  0.000  0.000 x4
Tc  0.250  0.250  0.250 x8
Te  0.000  0.000  0.500 x4

***

| no. | total moment (μB/cell) |
| --- | --- |
| 1 | 0.00 |
| 2 | 0.00 |
| 3 | 0.00 |
| 4 | 0.00 |
| 5 | 0.00 |
| 6 | 0.00 |
| 7 | 0.00 |
| 8 | 0.00 |
| 9 | 0.00 |
| 10 | 18.66 |
| 11 | 0.00 |
| 12 | 0.00 |
| 13 | 0.00 |
| 14 | 0.00 |
| 15 | 0.00 |
| 16 | 13.54 |
| 17 | 0.00 |